[1]
Below is an optimized crystal structure of Er2InNi2, with properties calculated at the GGA-PBE level.

Summary:
- Energy relative to the elements: -2.76 eV/f.u.

a b c (Å): 3.848 14.277 3.657
angles (deg): 90.00 90.00 90.00
Space group Cmmm (No. 65)
Symmetry-distinct sites (fractional):
Er: 0.000 0.139 0.000
In: 0.000 0.500 0.500
Ni: 0.000 0.302 0.500



[2]
Below is an optimized crystal structure of Er12InNi6, with properties calculated at the GGA-PBE level.

Summary:
- Energy relative to the elements: -7.35 eV/f.u.

a b c (Å): 9.608 9.608 9.608
angles (deg): 90.00 90.00 90.00
Space group Im-3 (No. 204)
Symmetry-distinct sites (fractional):
Er: 0.000 0.302 0.188
In: 0.000 0.000 0.000
Ni: 0.000 0.123 0.500



[3]
Below is an optimized crystal structure of Er5InNi2, with properties calculated at the GGA-PBE level.

Summary:
- Energy relative to the elements: -3.00 eV/f.u.

a b c (Å): 7.613 7.613 13.320
angles (deg): 90.00 90.00 90.00
Space group I4/mcm (No. 140)
Symmetry-distinct sites (fractional):
Er: 0.000 0.000 0.000
Er: 0.161 0.339 0.134
In: 0.000 0.000 0.250
Ni: 0.127 0.373 0.500



[4]
Below is an optimized crystal structure of ErIn3Ni8, with properties calculated at the GGA-PBE level.

Summary:
- Energy relative to the elements: -2.63 eV/f.u.

a b c (Å): 4.9401 4.9401 24.3508
angles (deg): 90.00 90.00 120.00
Space group R3m (No. 160, hexagonal axes)
Symmetry-distinct sites (fractional):
Er: 0.0000 0.0000 0.0000
In: 0.0000 0.0000 0.1253
In: 0.0000 0.0000 0.4984
In: 0.0000 0.0000 0.6217
Ni: 0.0000 0.0000 0.3117
Ni: 0.0000 0.0000 0.8119
Ni: 0.0001 0.5001 0.0626
Ni: 0.1679 0.3358 0.8946



[5]
Below is an optimized crystal structure of ErIn2Ni, with properties calculated at the GGA-PBE level.

Summary:
- Energy relative to the elements: -1.62 eV/f.u.

a b c (Å): 16.110 7.389 5.594
angles (deg): 90.00 90.00 90.00
Space group Pnma (No. 62)
Symmetry-distinct sites (fractional):
Er: 0.108 0.250 0.243
Er: 0.142 0.750 0.461
In: 0.035 0.048 0.746
In: 0.215 0.550 0.971
Ni: 0.073 0.750 0.989
Ni: 0.174 0.250 0.730



[6]
Below is an optimized crystal structure of Er3In5Ni2, with properties calculated at the GGA-PBE level.

Summary:
- Energy relative to the elements: -4.08 eV/f.u.

a b c (Å): 9.987 9.987 4.350
angles (deg): 90.00 90.00 90.00
Space group P4/mbm (No. 127)
Symmetry-distinct sites (fractional):
Er: 0.000 0.000 0.000
Er: 0.171 0.329 0.000
In: 0.000 0.500 0.500
In: 0.068 0.786 0.500
Ni: 0.127 0.627 0.000



[7]
Below is an optimized crystal structure of Er3InNi2, with properties calculated at the GGA-PBE level.

Summary:
- Energy relative to the elements: -2.66 eV/f.u.

a b c (Å): 3.410 3.410 10.899
angles (deg): 90.00 90.00 90.00
Space group P4/mmm (No. 123)
Symmetry-distinct sites (fractional):
Er: 0.000 0.000 0.000
Er: 0.000 0.000 0.300
In: 0.500 0.500 0.500
Ni: 0.500 0.500 0.154



[8]
Below is an optimized crystal structure of Er6In2Ni, with properties calculated at the GGA-PBE level.

Summary:
- Energy relative to the elements: -2.34 eV/f.u.
- Energy above the lowest structure with this stoichiometry: 0.0737 eV per atom

a b c (Å): 7.066 7.058 12.202
angles (deg): 90.00 125.36 90.00
Space group P2_1/c (No. 14)
Symmetry-distinct sites (fractional):
Er: 0.218 0.000 0.245
Er: 0.257 0.248 0.013
Er: 0.261 0.744 0.514
In: 0.250 0.501 0.250
Ni: 0.500 0.000 0.500



[9]
Below is an optimized crystal structure of Er3In3Ni2, with properties calculated at the GGA-PBE level.

Summary:
- Energy relative to the elements: -3.36 eV/f.u.

a b c (Å): 7.551 16.434 5.701
angles (deg): 90.00 90.00 90.00
Space group Pnma (No. 62)
Symmetry-distinct sites (fractional):
Er: 0.036 0.111 0.111
Er: 0.161 0.250 0.660
In: 0.177 0.034 0.613
In: 0.177 0.750 0.662
Ni: 0.115 0.621 0.392



[10]
Below is an optimized crystal structure of ErIn2Ni9, with properties calculated at the GGA-PBE level.

Summary:
- Energy relative to the elements: -2.55 eV/f.u.
- Energy above the lowest structure with this stoichiometry: 0.0072 eV per atom

a b c (Å): 4.9000 4.9000 23.7108
angles (deg): 90.00 90.00 120.00
Space group R-3m (No. 166, hexagonal axes)
Symmetry-distinct sites (fractional):
Er: 0.0000 0.0000 0.0000
In: 0.0000 0.0000 0.1399
Ni: 0.0000 0.0000 0.3338
Ni: 0.0000 0.0000 0.5000
Ni: 0.0028 0.5014 0.9165



[11]
Below is an optimized crystal structure of ErIn2Ni, with properties calculated at the GGA-PBE level.

Summary:
- Energy relative to the elements: -0.97 eV/f.u.

a b c (Å): 3.305 3.305 7.518
angles (deg): 90.00 90.00 90.00
Space group P4/mmm (No. 123)
Symmetry-distinct sites (fractional):
Er: 0.000 0.000 0.000
In: 0.500 0.500 0.300
Ni: 0.000 0.000 0.500



[12]
Below is an optimized crystal structure of Er2In2Ni15, with properties calculated at the GGA-PBE level.

Summary:
- Energy relative to the elements: -3.47 eV/f.u.

a b c (Å): 8.4438 8.4438 12.4194
angles (deg): 90.00 90.00 120.00
Space group R-3m (No. 166, hexagonal axes)
Symmetry-distinct sites (fractional):
Er: 0.0000 0.0000 0.1444
In: 0.0000 0.0000 0.3918
Ni: 0.0000 0.3065 0.5000
Ni: 0.0000 0.5000 0.0000
Ni: 0.0071 0.5036 0.6547



Repeat the sixth record exactly.
Below is an optimized crystal structure of Er3In5Ni2, with properties calculated at the GGA-PBE level.

Summary:
- Energy relative to the elements: -4.08 eV/f.u.

a b c (Å): 9.987 9.987 4.350
angles (deg): 90.00 90.00 90.00
Space group P4/mbm (No. 127)
Symmetry-distinct sites (fractional):
Er: 0.000 0.000 0.000
Er: 0.171 0.329 0.000
In: 0.000 0.500 0.500
In: 0.068 0.786 0.500
Ni: 0.127 0.627 0.000